(1)
Below is crystalline La2TlO at its relaxed geometry, with properties calculated at the GGA-PBEsol level.

The structure belongs to space group Fm-3m (No. 225); the cell edges are 7.3127, 7.3127 and 7.3127 Å and the angles 90.00°, 90.00° and 90.00°. The asymmetric unit holds La at (0.2500, 0.2500, 0.2500), Tl at (0.0000, 0.0000, 0.0000) and O at (0.0000, 0.0000, 0.5000).

For the energy relative to the elements, uncorrected, the calculation gives -581 meV/atom.

(2)
Below is crystalline LaTlO3 at its relaxed geometry, with properties calculated at the GGA-PBEsol level.

The structure belongs to space group Pm-3m (No. 221); the cell edges are 4.2522, 4.2522 and 4.2522 Å and the angles 90.00°, 90.00° and 90.00°. The asymmetric unit holds La at (0.0000, 0.0000, 0.0000), Tl at (0.5000, 0.5000, 0.5000) and O at (0.0000, 0.5000, 0.5000).

For the energy relative to the elements, uncorrected, the calculation gives -1562 meV/atom.

(3)
Below is crystalline La6UO12 at its relaxed geometry, with properties calculated at the GGA-PBEsol level.

The structure belongs to space group R-3 (No. 148, hexagonal axes); the cell edges are 10.3828, 10.3828 and 9.9018 Å and the angles 90.00°, 90.00° and 120.00°. The asymmetric unit holds La at (0.0440, 0.2537, 0.1465), U at (0.0000, 0.0000, 0.5000), O at (0.0359, 0.2258, 0.9029) and O at (0.0407, 0.1908, 0.3936).

For the energy relative to the elements, uncorrected, the calculation gives -3500 meV/atom.

(4)
Below is crystalline La2UO6 at its relaxed geometry, with properties calculated at the GGA-PBEsol level.

The structure belongs to space group Immm (No. 71); the cell edges are 3.9135, 5.5412 and 11.4226 Å and the angles 90.00°, 90.00° and 90.00°. The asymmetric unit holds La at (0.0000, 0.0000, 0.1642), U at (0.0000, 0.0000, 0.5000), O at (0.0000, 0.2329, 0.3504) and O at (0.0000, 0.2790, 0.0000).

For the energy relative to the elements, uncorrected, the calculation gives -3461 meV/atom.

V for every record listed, in sequence, given in A^3/atom: 24.44 15.38 16.22 13.76.